Record 1
A relaxed YHoRe crystal. Source: OQMD, functional GGA-PBE.

As for the calculated density: 9.46 Mg/m³. The formation energy is 3.60 eV/f.u.

It has space group F-43m (No. 216), with a = 6.7599 Å, b = 6.7599 Å, c = 6.7599 Å, α = 90.00°, β = 90.00° and γ = 90.00°. The distinct sites, in fractional coordinates, are Y at (0.0000, 0.0000, 0.0000), Ho at (0.2500, 0.2500, 0.7500) and Re at (0.2500, 0.2500, 0.2500).


Record 2
A relaxed HoS4 crystal. Source: OQMD, functional GGA-PBE.

As for the calculated density: 4.07 Mg/m³. The value obtained for the raw total energy is -101.2 eV for the cell shown.

It has space group C2/m (No. 12), with a = 7.0756 Å, b = 8.2363 Å, c = 8.7996 Å, α = 90.00°, β = 111.10° and γ = 90.00°. The distinct sites, in fractional coordinates, are Ho at (0.0000, 0.2424, 0.0000), S at (0.1351, 0.2138, 0.7235), S at (0.1638, 0.0000, 0.6163) and S at (0.2071, 0.5000, 0.9189).


Record 3
A relaxed Ho5S7 crystal. Source: OQMD, functional GGA-PBE.

As for the calculated density: 6.45 Mg/m³. The value obtained for the raw total energy is -153.3 eV for the cell shown.

It has space group C2/m (No. 12), with a = 12.7517 Å, b = 3.7840 Å, c = 11.5590 Å, α = 90.00°, β = 104.56° and γ = 90.00°. The distinct sites, in fractional coordinates, are Ho at (0.0000, 0.0000, 0.0000), Ho at (0.1122, 0.0000, 0.4212), Ho at (0.1994, 0.5000, 0.8127), S at (0.0000, 0.5000, 0.5000), S at (0.0407, 0.0000, 0.7850), S at (0.1593, 0.5000, 0.0510) and S at (0.2410, 0.5000, 0.3522).


Record 4
A relaxed HoS2 crystal. Source: OQMD, functional GGA-PBE.

As for the calculated density: 6.51 Mg/m³. The value obtained for the raw total energy is -103.5 eV for the cell shown.

It has space group Fd-3m (No. 227, origin choice 2), with a = 7.7590 Å, b = 7.7590 Å, c = 7.7590 Å, α = 90.00°, β = 90.00° and γ = 90.00°. The distinct sites, in fractional coordinates, are Ho at (0.1250, 0.1250, 0.1250) and S at (0.0000, 0.0000, 0.5000).


Record 5
A relaxed HoS crystal. Source: OQMD, functional GGA-PBE.

As for the calculated density: 7.93 Mg/m³. The value obtained for the raw total energy is -50.6 eV for the cell shown.

It has space group Fm-3m (No. 225), with a = 5.4859 Å, b = 5.4859 Å, c = 5.4859 Å, α = 90.00°, β = 90.00° and γ = 90.00°. The distinct sites, in fractional coordinates, are Ho at (0.0000, 0.0000, 0.0000) and S at (0.0000, 0.0000, 0.5000).


Record 6
A relaxed HoS crystal. Source: OQMD, functional GGA-PBE.

As for the calculated density: 5.83 Mg/m³. The value obtained for the raw total energy is -47.2 eV for the cell shown.

It has space group F-43m (No. 216), with a = 6.0769 Å, b = 6.0769 Å, c = 6.0769 Å, α = 90.00°, β = 90.00° and γ = 90.00°. The distinct sites, in fractional coordinates, are Ho at (0.0000, 0.0000, 0.0000) and S at (0.2500, 0.2500, 0.7500).


Record 7
A relaxed HoS crystal. Source: OQMD, functional GGA-PBE.

As for the calculated density: 7.93 Mg/m³. The value obtained for the raw total energy is -38.0 eV for the cell shown.

It has space group R-3m (No. 166, hexagonal axes), with a = 3.8726 Å, b = 3.8726 Å, c = 9.5318 Å, α = 90.00°, β = 90.00° and γ = 120.00°. The distinct sites, in fractional coordinates, are Ho at (0.0000, 0.0000, 0.0000) and S at (0.0000, 0.0000, 0.5000).


Record 8
A relaxed Ho5S6 crystal. Source: OQMD, functional GGA-PBE.

As for the calculated density: 6.87 Mg/m³. The value obtained for the raw total energy is -140.8 eV for the cell shown.

It has space group C2/m (No. 12), with a = 6.7214 Å, b = 11.6060 Å, c = 6.6894 Å, α = 90.00°, β = 109.47° and γ = 90.00°. The distinct sites, in fractional coordinates, are Ho at (0.0000, 0.0000, 0.0000), Ho at (0.0000, 0.1655, 0.5000), Ho at (0.0000, 0.3370, 0.0000), S at (0.2502, 0.0000, 0.7457) and S at (0.2495, 0.1669, 0.2490).